Entry 1:
First-principles (GGA-PBE) data for a geometry-optimized YHo4Bi3 structure, as listed in Alexandria via LeMat-Bulk.

CIF file:
```
data_YHo4Bi3
_symmetry_space_group_name_H-M 'C 1 2/m 1'
_symmetry_Int_Tables_number 12
_cell_length_a 15.1823
_cell_length_b 5.3416
_cell_length_c 6.3294
_cell_angle_alpha 90.00
_cell_angle_beta 109.58
_cell_angle_gamma 90.00
loop_
_symmetry_equiv_pos_as_xyz
'x,y,z'
'-x,-y,-z'
'-x,y,-z'
'x,-y,z'
'x+1/2,y+1/2,z'
'-x+1/2,-y+1/2,-z'
'-x+1/2,y+1/2,-z'
'x+1/2,-y+1/2,z'
loop_
_atom_site_label
_atom_site_type_symbol
_atom_site_fract_x
_atom_site_fract_y
_atom_site_fract_z
Y1 Y 0.0000 0.0000 0.0000
Ho1 Ho 0.1222 0.0000 0.5560
Ho2 Ho 0.2448 0.5000 0.8249
Bi1 Bi 0.0000 0.5000 0.5000
Bi2 Bi 0.1471 0.5000 0.2182
```

=====

Entry 2:
# LiFe2Pd2, optimized geometry, DFT GGA-PBE
# **E above lowest polymorph**: 0.0 meV per atom
data_LiFe2Pd2
_symmetry_space_group_name_H-M 'P 4/m b m'
_symmetry_Int_Tables_number 127
_symmetry_space_group_name_Hall '-P 4 2ab'
_cell_length_a 7.4635
_cell_length_b 7.4635
_cell_length_c 2.6950
_cell_angle_alpha 90.00
_cell_angle_beta 90.00
_cell_angle_gamma 90.00
loop_
_atom_site_label
_atom_site_type_symbol
_atom_site_fract_x
_atom_site_fract_y
_atom_site_fract_z
Li1 Li 0.0000 0.0000 0.0000
Fe1 Fe 0.1135 0.3865 0.0000
Pd1 Pd 0.1803 0.6803 0.5000

=====

Entry 3:
# Pr2SiAg, optimized geometry, DFT GGA-PBE
# **Energy relative to the elements, uncorrected**: 0.172 eV/f.u.
data_Pr2SiAg
_symmetry_space_group_name_H-M 'R -3 m'
_symmetry_Int_Tables_number 166
_symmetry_space_group_name_Hall '-R 3 2"'
_cell_length_a 4.2488
_cell_length_b 4.2488
_cell_length_c 28.0944
_cell_angle_alpha 90.00
_cell_angle_beta 90.00
_cell_angle_gamma 120.00
loop_
_atom_site_label
_atom_site_type_symbol
_atom_site_fract_x
_atom_site_fract_y
_atom_site_fract_z
Pr1 Pr 0.0000 0.0000 0.1100
Si1 Si 0.0000 0.0000 0.5000
Ag1 Ag 0.0000 0.0000 0.0000

=====

Entry 4:
# YGaIr3, optimized geometry, DFT GGA-PBE
# **E above lowest polymorph**: 1701.8 meV per atom
data_YGaIr3
_symmetry_space_group_name_H-M 'P m -3 m'
_symmetry_Int_Tables_number 221
_symmetry_space_group_name_Hall '-P 4 2 3'
_cell_length_a 4.9825
_cell_length_b 4.9825
_cell_length_c 4.9825
_cell_angle_alpha 90.00
_cell_angle_beta 90.00
_cell_angle_gamma 90.00
loop_
_atom_site_label
_atom_site_type_symbol
_atom_site_fract_x
_atom_site_fract_y
_atom_site_fract_z
Y1 Y 0.0000 0.0000 0.0000
Ga1 Ga 0.5000 0.5000 0.5000
Ir1 Ir 0.0000 0.0000 0.5000

=====

Entry 5:
# FeRuW2, optimized geometry, DFT GGA-PBE
# **E above lowest polymorph**: 77.3 meV per atom
data_FeRuW2
_symmetry_space_group_name_H-M 'F -4 3 m'
_symmetry_Int_Tables_number 216
_symmetry_space_group_name_Hall 'F -4 2 3'
_cell_length_a 6.1773
_cell_length_b 6.1773
_cell_length_c 6.1773
_cell_angle_alpha 90.00
_cell_angle_beta 90.00
_cell_angle_gamma 90.00
loop_
_atom_site_label
_atom_site_type_symbol
_atom_site_fract_x
_atom_site_fract_y
_atom_site_fract_z
Fe1 Fe 0.0000 0.0000 0.0000
Ru1 Ru 0.2500 0.2500 0.2500
W1 W 0.0000 0.0000 0.5000
W2 W 0.2500 0.2500 0.7500

=====

Entry 6:
# TbAg3Cl6, optimized geometry, DFT GGA-PBE
# **Energy relative to the elements, uncorrected**: -11.512 eV/f.u.
data_TbAg3Cl6
_symmetry_space_group_name_H-M 'P 1 21/c 1'
_symmetry_Int_Tables_number 14
_cell_length_a 6.9646
_cell_length_b 6.9000
_cell_length_c 12.5509
_cell_angle_alpha 90.00
_cell_angle_beta 122.18
_cell_angle_gamma 90.00
loop_
_symmetry_equiv_pos_as_xyz
'x,y,z'
'-x,-y,-z'
'-x,y+1/2,-z+1/2'
'x,-y+1/2,z+1/2'
loop_
_atom_site_label
_atom_site_type_symbol
_atom_site_fract_x
_atom_site_fract_y
_atom_site_fract_z
Tb1 Tb 0.0000 0.0000 0.0000
Ag1 Ag 0.2697 0.0337 0.7596
Ag2 Ag 0.5000 0.0000 0.5000
Cl1 Cl 0.0703 0.1765 0.4117
Cl2 Cl 0.2768 0.6734 0.4432
Cl3 Cl 0.3502 0.1039 0.2299

=====

Entry 7:
# La4GaPN, optimized geometry, DFT GGA-PBE
# **Energy relative to the elements, uncorrected**: -6.337 eV/f.u.
data_La4GaPN
_symmetry_space_group_name_H-M 'C m c m'
_symmetry_Int_Tables_number 63
_symmetry_space_group_name_Hall '-C 2c 2'
_cell_length_a 6.9084
_cell_length_b 15.9611
_cell_length_c 6.8570
_cell_angle_alpha 90.00
_cell_angle_beta 90.00
_cell_angle_gamma 90.00
loop_
_atom_site_label
_atom_site_type_symbol
_atom_site_fract_x
_atom_site_fract_y
_atom_site_fract_z
La1 La 0.0000 0.0745 0.2500
La2 La 0.0000 0.4229 0.2500
La3 La 0.2500 0.2500 0.0000
Ga1 Ga 0.0000 0.3872 0.7500
P1 P 0.0000 0.1169 0.7500
N1 N 0.0000 0.2276 0.2500

=====

Entry 8:
# TiInTeCl2, optimized geometry, DFT GGA-PBE
# **Energy relative to the elements, uncorrected**: -4.356 eV/f.u.
data_TiInTeCl2
_symmetry_space_group_name_H-M 'P 4/m m m'
_symmetry_Int_Tables_number 123
_symmetry_space_group_name_Hall '-P 4 2'
_cell_length_a 4.8806
_cell_length_b 4.8806
_cell_length_c 5.6486
_cell_angle_alpha 90.00
_cell_angle_beta 90.00
_cell_angle_gamma 90.00
loop_
_atom_site_label
_atom_site_type_symbol
_atom_site_fract_x
_atom_site_fract_y
_atom_site_fract_z
Ti1 Ti 0.0000 0.0000 0.0000
In1 In 0.5000 0.5000 0.5000
Te1 Te 0.0000 0.0000 0.5000
Cl1 Cl 0.0000 0.5000 0.0000

=====

Entry 9:
# BaOs2Rh, optimized geometry, DFT GGA-PBE
# **E above lowest polymorph**: 877.4 meV per atom
data_BaOs2Rh
_symmetry_space_group_name_H-M 'P m m m'
_symmetry_Int_Tables_number 47
_cell_length_a 2.9228
_cell_length_b 4.7849
_cell_length_c 5.4665
_cell_angle_alpha 90.00
_cell_angle_beta 90.00
_cell_angle_gamma 90.00
loop_
_symmetry_equiv_pos_as_xyz
'x,y,z'
'-x,-y,-z'
'-x,-y,z'
'x,y,-z'
'x,-y,-z'
'-x,y,z'
'-x,y,-z'
'x,-y,z'
loop_
_atom_site_label
_atom_site_type_symbol
_atom_site_fract_x
_atom_site_fract_y
_atom_site_fract_z
Ba1 Ba 0.0000 0.0000 0.0000
Os1 Os 0.0000 0.5000 0.5000
Os2 Os 0.5000 0.0000 0.5000
Rh1 Rh 0.5000 0.5000 0.0000

=====

Entry 10:
# NiH3Pd, optimized geometry, DFT GGA-PBE
# **E above lowest polymorph**: 0.0 meV per atom
data_NiH3Pd
_symmetry_space_group_name_H-M 'P -1'
_symmetry_Int_Tables_number 2
_cell_length_a 4.3766
_cell_length_b 4.3845
_cell_length_c 5.0419
_cell_angle_alpha 64.27
_cell_angle_beta 89.97
_cell_angle_gamma 60.09
loop_
_symmetry_equiv_pos_as_xyz
'x,y,z'
'-x,-y,-z'
loop_
_atom_site_label
_atom_site_type_symbol
_atom_site_fract_x
_atom_site_fract_y
_atom_site_fract_z
Ni1 Ni 0.1710 0.1582 0.0130
H1 H 0.0086 0.6560 0.7564
H2 H 0.1650 0.7479 0.2437
H3 H 0.4123 0.0800 0.7542
Pd1 Pd 0.3894 0.7217 0.6665

=====

Entry 11:
# La6Se5S, optimized geometry, DFT GGA-PBE
# **Energy relative to the elements, uncorrected**: -24.345 eV/f.u.
data_La6Se5S
_symmetry_space_group_name_H-M 'C 1 2/m 1'
_symmetry_Int_Tables_number 12
_cell_length_a 7.4265
_cell_length_b 12.8822
_cell_length_c 7.4336
_cell_angle_alpha 90.00
_cell_angle_beta 109.58
_cell_angle_gamma 90.00
loop_
_symmetry_equiv_pos_as_xyz
'x,y,z'
'-x,-y,-z'
'-x,y,-z'
'x,-y,z'
'x+1/2,y+1/2,z'
'-x+1/2,-y+1/2,-z'
'-x+1/2,y+1/2,-z'
'x+1/2,-y+1/2,z'
loop_
_atom_site_label
_atom_site_type_symbol
_atom_site_fract_x
_atom_site_fract_y
_atom_site_fract_z
La1 La 0.2431 0.0000 0.2559
La2 La 0.2431 0.1621 0.7424
Se1 Se 0.0000 0.1700 0.0000
Se2 Se 0.0000 0.3337 0.5000
Se3 Se 0.0000 0.5000 0.0000
S1 S 0.0000 0.0000 0.5000

=====

Entry 12:
# BaNiSe, optimized geometry, DFT GGA-PBE
# **Energy relative to the elements, uncorrected**: -2.911 eV/f.u.
data_BaNiSe
_symmetry_space_group_name_H-M 'P 1 21/m 1'
_symmetry_Int_Tables_number 11
_cell_length_a 4.5037
_cell_length_b 5.1509
_cell_length_c 6.8626
_cell_angle_alpha 90.00
_cell_angle_beta 90.13
_cell_angle_gamma 90.00
loop_
_symmetry_equiv_pos_as_xyz
'x,y,z'
'-x,-y,-z'
'-x,y+1/2,-z'
'x,-y+1/2,z'
loop_
_atom_site_label
_atom_site_type_symbol
_atom_site_fract_x
_atom_site_fract_y
_atom_site_fract_z
Ba1 Ba 0.0015 0.2500 0.2711
Ni1 Ni 0.5000 0.0000 0.0000
Se1 Se 0.4987 0.2500 0.7202

=====

| no. | DFT total energy (eV/cell) |
| --- | --- |
| 1 | -78.5 |
| 2 | -58.7 |
| 3 | -53.0 |
| 4 | -26.6 |
| 5 | -171.6 |
| 6 | -71.6 |
| 7 | -171.2 |
| 8 | -21.8 |
| 9 | -27.0 |
| 10 | -42.2 |
| 11 | -150.9 |
| 12 | -28.2 |